This record from Alexandria describes an optimized crystal structure of AsPPb2. The functional is PBE-GGA.

Cell and atoms, written as POSCAR:
```
AsPPb2
1.0
0.0000 3.6506 3.6506
3.6506 0.0000 3.6506
3.6506 3.6506 0.0000
As P Pb
1 1 2
direct
0.0000 0.0000 0.0000 As
0.5000 0.5000 0.5000 P
0.2500 0.2500 0.2500 Pb
0.7500 0.7500 0.7500 Pb
```

energy of formation from the pure elements: 0.311 eV/atom
E above lowest polymorph: 168 meV/atom
space-group type: Fm-3m (225)
crystal system: cubic

***

This record from Alexandria describes an optimized crystal structure of Dy2YZn. The functional is PBE-GGA.

Cell and atoms, written as POSCAR:
```
Dy2YZn
1.0
1.8061 1.0428 10.2058
-1.8061 1.0428 10.2058
0.0000 -2.0855 10.2058
Dy Y Zn
2 1 1
direct
0.0000 0.0000 0.0000 Dy
0.1894 0.1894 0.1894 Dy
0.4282 0.4282 0.4282 Y
0.5942 0.5942 0.5942 Zn
```

energy of formation from the pure elements: -0.057 eV/atom
E above lowest polymorph: 105 meV/atom
space-group type: R3m (160)
crystal system: trigonal

***

This record from Alexandria describes an optimized crystal structure of PmPr2SmSb4. The functional is PBE-GGA.

Cell and atoms, written as POSCAR:
```
PmPr2SmSb4
1.0
7.8277 0.0000 0.0000
0.0000 4.5223 0.0000
-2.6089 0.0000 7.3804
Pm Pr Sm Sb
1 2 1 4
direct
0.0000 0.0000 0.0000 Pm
0.0000 0.5000 0.5000 Pr
0.5000 0.0000 0.5000 Pr
0.5000 0.5000 0.0000 Sm
0.2492 0.5000 0.2456 Sb
0.2523 0.0000 0.7549 Sb
0.7477 0.0000 0.2451 Sb
0.7508 0.5000 0.7544 Sb
```

space-group type: P2/m (10)
uncorrected formation energy: -1.187 eV/atom
crystal system: monoclinic

***

This record from Alexandria describes an optimized crystal structure of La2Pm8Tl. The functional is PBE-GGA.

Cell and atoms, written as POSCAR:
```
La2Pm8Tl
1.0
-2.4227 5.4561 7.3764
2.4227 -5.4561 7.3764
2.4227 5.4561 -7.3764
La Pm Tl
2 8 1
direct
0.1354 0.1354 0.0000 La
0.8646 0.8646 0.0000 La
0.0933 0.3292 0.7642 Pm
0.2916 0.0000 0.2916 Pm
0.3209 0.8209 0.5000 Pm
0.4350 0.6708 0.7642 Pm
0.5650 0.3292 0.2358 Pm
0.6791 0.1791 0.5000 Pm
0.7084 0.0000 0.7084 Pm
0.9067 0.6708 0.2358 Pm
0.5000 0.5000 0.0000 Tl
```

energy of formation from the pure elements: 0.080 eV/atom
E above lowest polymorph: 116 meV/atom
space-group type: Immm (71)
crystal system: orthorhombic

***

This record from Alexandria describes an optimized crystal structure of YHo6Tl. The functional is PBE-GGA.

Cell and atoms, written as POSCAR:
```
YHo6Tl
1.0
4.5972 2.6542 3.3701
-4.5972 2.6542 3.3701
0.0000 -5.3084 3.3701
Y Ho Tl
1 6 1
direct
0.0000 0.0000 0.0000 Y
0.0444 0.5361 0.2581 Ho
0.2581 0.0444 0.5361 Ho
0.4639 0.7419 0.9556 Ho
0.5361 0.2581 0.0444 Ho
0.7419 0.9556 0.4639 Ho
0.9556 0.4639 0.7419 Ho
0.5000 0.5000 0.5000 Tl
```

energy of formation from the pure elements: 0.025 eV/atom
E above lowest polymorph: 96 meV/atom
space-group type: R-3 (148)
crystal system: trigonal

***

This record from Alexandria describes an optimized crystal structure of PaTc2Hg. The functional is PBE-GGA.

Cell and atoms, written as POSCAR:
```
PaTc2Hg
1.0
0.0000 3.3388 3.3388
3.3388 0.0000 3.3388
3.3388 3.3388 0.0000
Pa Tc Hg
1 2 1
direct
0.0000 0.0000 0.0000 Pa
0.2500 0.2500 0.2500 Tc
0.7500 0.7500 0.7500 Tc
0.5000 0.5000 0.5000 Hg
```

energy of formation from the pure elements: 0.199 eV/atom
E above lowest polymorph: 194 meV/atom
space-group type: Fm-3m (225)
crystal system: cubic

***

This record from Alexandria describes an optimized crystal structure of PuNpS4. The functional is PBE-GGA.

Cell and atoms, written as POSCAR:
```
PuNpS4
1.0
-4.4545 4.4545 4.2441
4.4545 -4.4545 4.2441
4.4545 4.4545 -4.2441
Pu Np S
2 2 8
direct
0.3750 0.6250 0.7500 Pu
0.6250 0.3750 0.2500 Pu
0.1250 0.8750 0.2500 Np
0.8750 0.1250 0.7500 Np
0.1106 0.6648 0.4458 S
0.2810 0.3352 0.9458 S
0.3352 0.2810 0.4458 S
0.3352 0.8894 0.0542 S
0.6648 0.1106 0.9458 S
0.6648 0.7190 0.5542 S
0.7190 0.6648 0.0542 S
0.8894 0.3352 0.5542 S
```

E above lowest polymorph: 240 meV/atom
space-group type: I4_1/amd (141)
uncorrected formation energy: -0.972 eV/atom
crystal system: tetragonal

***

This record from Alexandria describes an optimized crystal structure of MnBe8Cu3. The functional is PBE-GGA.

Cell and atoms, written as POSCAR:
```
MnBe8Cu3
1.0
4.2577 0.0000 0.0000
-2.1289 3.6873 0.0000
0.0000 0.0000 6.9497
Mn Be Cu
1 8 3
direct
0.0000 0.0000 0.0000 Mn
0.0003 0.5002 0.1923 Be
0.1644 0.3289 0.6938 Be
0.1644 0.8356 0.6938 Be
0.3333 0.6667 0.4463 Be
0.3333 0.6667 0.9453 Be
0.4998 0.9997 0.1923 Be
0.4998 0.5002 0.1923 Be
0.6711 0.8356 0.6938 Be
0.0000 0.0000 0.3818 Cu
0.6667 0.3333 0.4999 Cu
0.6667 0.3333 0.8830 Cu
```

energy of formation from the pure elements: -0.110 eV/atom
space-group type: P3m1 (156)
crystal system: trigonal

***

Number 1: density of states at the Fermi level 2.8 states/eV per cell. Number 2: density of states at the Fermi level 5.4 states/eV per cell. Number 3: density of states at the Fermi level 1.0 states/eV per cell. Number 4: density of states at the Fermi level 15.5 states/eV per cell. Number 5: density of states at the Fermi level 11.1 states/eV per cell. Number 6: density of states at the Fermi level 7.9 states/eV per cell. Number 7: density of states at the Fermi level 38.4 states/eV per cell. Number 8: density of states at the Fermi level 5.2 states/eV per cell.